No. 1
This record from Alexandria describes crystalline Rb2BaNa at its relaxed geometry. The functional is GGA-PBE.

Unit cell a=10.370 b=10.370 c=10.370 alpha=90.00 beta=90.00 gamma=90.00
Space group Fm-3m (No. 225)
One atom of each set of equivalent atoms:
Rb 0.250 0.250 0.250
Ba 0.000 0.000 0.000
Na 0.000 0.000 0.500

Computed properties:
The calculation puts the formation energy at 0.178 eV per atom. Its energy above the most stable polymorph in this dataset is 0.073 eV/atom.

***

No. 2
This record from Alexandria describes crystalline Pm2Nd5ErTh at its relaxed geometry. The functional is GGA-PBE.

Unit cell a=5.459 b=21.975 c=10.579 alpha=90.00 beta=90.00 gamma=90.00
Space group Cmcm (No. 63)
One atom of each set of equivalent atoms:
Pm 0.000 0.113 0.001
Nd 0.000 0.001 0.750
Nd 0.000 0.277 0.558
Nd 0.000 0.373 0.250
Nd 0.000 0.500 0.000
Er 0.000 0.398 0.750
Th 0.000 0.211 0.250

Computed properties:
The calculation puts the formation energy at 0.137 eV per atom.

***

No. 3
This record from Alexandria describes crystalline LaAl2Br at its relaxed geometry. The functional is GGA-PBE.

Unit cell a=7.510 b=7.510 c=7.510 alpha=90.00 beta=90.00 gamma=90.00
Space group Fm-3m (No. 225)
One atom of each set of equivalent atoms:
La 0.000 0.000 0.000
Al 0.250 0.250 0.250
Br 0.000 0.000 0.500

Computed properties:
Its uncorrected formation energy is 0.11 eV/atom. Its energy above the most stable polymorph in this dataset is 0.697 eV/atom.

***

No. 4
This record from Alexandria describes crystalline UTe at its relaxed geometry. The functional is GGA-PBE.

Unit cell a=3.527 b=4.715 c=7.529 alpha=90.00 beta=96.21 gamma=90.00
Space group P2_1/m (No. 11)
One atom of each set of equivalent atoms:
U 0.118 0.250 0.446
Te 0.303 0.750 0.210

Computed properties:
Its uncorrected formation energy is -0.23 eV/atom.

***

No. 5
This record from Alexandria describes crystalline Ac3Ni4Pd2 at its relaxed geometry. The functional is GGA-PBE.

Unit cell a=4.2700 b=4.2700 c=25.3786 alpha=90.00 beta=90.00 gamma=120.00
Space group P3m1 (No. 156)
One atom of each set of equivalent atoms:
Ac 0.0000 0.0000 0.0000
Ac 0.0000 0.0000 0.1605
Ac 0.0000 0.0000 0.3304
Ac 0.0000 0.0000 0.4909
Ac 0.0000 0.0000 0.6606
Ac 0.0000 0.0000 0.8210
Ni 0.3333 0.6667 0.0804
Ni 0.3333 0.6667 0.2456
Ni 0.3333 0.6667 0.4107
Ni 0.3333 0.6667 0.5756
Ni 0.3333 0.6667 0.7400
Ni 0.6667 0.3333 0.0806
Ni 0.6667 0.3333 0.4107
Ni 0.6667 0.3333 0.7408
Pd 0.3333 0.6667 0.8919
Pd 0.6667 0.3333 0.2456
Pd 0.6667 0.3333 0.5756
Pd 0.6667 0.3333 0.9291

Computed properties:
The calculation puts the formation energy at -0.403 eV per atom.

***

No. 6
This record from Alexandria describes crystalline NdMgAu4 at its relaxed geometry. The functional is GGA-PBE.

Unit cell a=4.473 b=4.473 c=7.249 alpha=90.00 beta=90.00 gamma=90.00
Space group P4/mmm (No. 123)
One atom of each set of equivalent atoms:
Nd 0.000 0.000 0.000
Mg 0.500 0.500 0.500
Au 0.000 0.500 0.286

Computed properties:
The calculation puts the formation energy at -0.422 eV per atom. Its energy above the most stable polymorph in this dataset is 0.153 eV/atom.